(1)
Density functional theory data (PBE) for crystalline Ga2ReMoOs at its relaxed geometry.

Values from the calculation:
space group	No. 123
total energy	-33.34	eV/f.u.
energy relative to the elements	1444	meV/atom

Cell and atoms, written as POSCAR:
```
Ga2ReMoOs
1.0
-4.1464 -1.2356 -1.8742
0.0062 -3.9777 2.6088
-2.2448 2.2716 3.4688
Ga Mo Re Os
2 1 1 1
direct
0.5000 0.0000 0.0000
0.0000 0.0000 0.5000
0.5000 0.5000 0.5000
0.0000 0.0000 0.0000
0.0000 0.5000 0.0000
```

=====

(2)
Density functional theory data (PBE) for crystalline Ac4Pr2Nd3 at its relaxed geometry.

Values from the calculation:
energy above the most stable polymorph in this dataset	50	meV per atom
space group	No. 156
total energy	-39.56	eV/f.u.
energy relative to the elements	82	meV/atom

Cell and atoms, written as POSCAR:
```
Ac4Pr2Nd3
1.0
3.8349 0.0000 0.0000
-1.9174 3.3211 0.0000
0.0000 0.0000 28.4888
Pr Nd Ac
2 3 4
direct
0.6667 0.3333 0.0838
0.6667 0.3333 0.8770
0.0000 0.0000 0.9827
0.0000 0.0000 0.3194
0.6667 0.3333 0.6568
0.6667 0.3333 0.2122
0.0000 0.0000 0.7669
0.0000 0.0000 0.5480
0.6667 0.3333 0.4303
```